Below is Pu6CrO12 after structural relaxation, with properties calculated at the PBE with a Hubbard U level.

a = 6.5368 Å, b = 6.5368 Å, c = 6.5368 Å
α = 99.21°, β = 99.21°, γ = 99.21°
With the nearest neighbours (Å) after each atom.
Fractional positions:
Pu (0.0986, 0.6330, 0.7885)  7 O 2.23-2.45
Pu (0.2115, 0.9014, 0.3670)  7 O 2.23-2.45
Pu (0.3670, 0.2115, 0.9014)  7 O 2.23-2.45
Pu (0.6330, 0.7885, 0.0986)  7 O 2.23-2.45
Pu (0.7885, 0.0986, 0.6330)  7 O 2.23-2.45
Pu (0.9014, 0.3670, 0.2115)  7 O 2.23-2.45
Cr (0.5000, 0.5000, 0.5000)  6 O 2.08
O (0.0631, 0.3236, 0.9111)  4 Pu 2.23-2.44
O (0.0889, 0.9369, 0.6764)  4 Pu 2.23-2.44
O (0.1934, 0.5536, 0.4400)  1 Cr 2.08, 1 Pu 2.26
O (0.3236, 0.9111, 0.0631)  4 Pu 2.23-2.44
O (0.4400, 0.1934, 0.5536)  1 Cr 2.08, 1 Pu 2.26
O (0.4464, 0.5600, 0.8066)  1 Cr 2.08, 1 Pu 2.26
O (0.5536, 0.4400, 0.1934)  1 Cr 2.08, 1 Pu 2.26
O (0.5600, 0.8066, 0.4464)  1 Cr 2.08, 1 Pu 2.26
O (0.6764, 0.0889, 0.9369)  4 Pu 2.23-2.44
O (0.8066, 0.4464, 0.5600)  1 Cr 2.08, 1 Pu 2.26
O (0.9111, 0.0631, 0.3236)  4 Pu 2.23-2.44
O (0.9369, 0.6764, 0.0889)  4 Pu 2.23-2.44

Energy ... -10.988 eV per atom
Magnetization ... 30.00 μB/cell
Density of states at the Fermi level ... 29.179 states/eV/cell